*i*
MnSiBr2 | GGA-PBE | optimized geometry

Unit cell a=6.539 b=6.539 c=6.518 alpha=59.89 beta=59.89 gamma=90.00
Sites, in units of the cell vectors:
Mn 0.750 0.250 0.500
Mn 0.000 0.000 0.000
Si 0.500 0.500 0.000
Br 0.057 0.625 0.250
Si 0.250 0.750 0.500
Br 0.693 0.125 0.250
Br 0.375 0.307 0.750
Br 0.875 0.943 0.750

Computed properties:
**Magnetic moment**: 0.001 μB/cell

---

*ii*
MnSiBr2 | GGA-PBE | optimized geometry

Unit cell a=4.567 b=4.567 c=7.764 alpha=77.68 beta=77.68 gamma=45.79
Sites, in units of the cell vectors:
Mn 0.451 0.451 0.397
Br 0.852 0.852 0.640
Br 0.035 0.035 0.107
Si 0.163 0.163 0.356

Computed properties:
**Magnetic moment**: 3.087 μB/cell

---

*iii*
MnSiBr2 | GGA-PBE | optimized geometry

Unit cell a=5.066 b=5.066 c=5.068 alpha=66.03 beta=66.03 gamma=100.80
Sites, in units of the cell vectors:
Si 0.000 0.500 0.500
Br 0.000 0.000 0.000
Br 0.500 0.500 0.000
Mn 0.500 0.000 0.500

Computed properties:
**Magnetic moment**: 4.955 μB/cell

---

*ii* (37.2 kJ/mol of atoms below the next structure)

---

*i*
MnSiBr2 | GGA-PBE | optimized geometry

Unit cell a=3.264 b=3.264 c=9.217 alpha=90.00 beta=90.00 gamma=90.00
Sites, in units of the cell vectors:
Br 0.000 0.000 0.431
Br 0.000 0.000 0.069
Si 0.500 0.500 0.750
Mn 0.500 0.500 0.250

Computed properties:
**Magnetic moment**: 4.542 μB/cell

---

*ii*
MnSiBr2 | GGA-PBE | optimized geometry

Unit cell a=6.931 b=6.931 c=6.931 alpha=147.29 beta=147.29 gamma=46.94
Sites, in units of the cell vectors:
Mn 0.500 0.500 0.000
Si 0.750 0.250 0.500
Br 0.000 0.000 0.000
Br 0.250 0.750 0.500

Computed properties:
**Magnetic moment**: 4.342 μB/cell

---

*i* (7.0 kJ/mol of atoms below the next structure)

---

*i*
MnSiBr2 | GGA-PBE | optimized geometry

Unit cell a=11.134 b=11.134 c=11.134 alpha=18.29 beta=18.29 gamma=18.29
Sites, in units of the cell vectors:
Br 0.967 0.967 0.967
Si 0.750 0.750 0.750
Br 0.533 0.533 0.533
Mn 0.250 0.250 0.250

Computed properties:
**Magnetic moment**: 4.772 μB/cell

---

*ii*
MnSiBr2 | GGA-PBE | optimized geometry

Unit cell a=9.456 b=9.456 c=9.456 alpha=19.55 beta=19.55 gamma=19.55
Sites, in units of the cell vectors:
Br 0.081 0.081 0.081
Mn 0.000 0.000 0.000
Br 0.919 0.919 0.919
Si 0.500 0.500 0.500

Computed properties:
**Magnetic moment**: 0.000 μB/cell

---

*iii*
MnSiBr2 | GGA-PBE | optimized geometry

Unit cell a=3.787 b=3.497 c=8.750 alpha=78.60 beta=90.00 gamma=90.00
Sites, in units of the cell vectors:
Br 0.500 0.273 0.329
Br 0.000 0.978 0.919
Mn 0.000 0.580 0.713
Si 0.500 0.669 0.538

Computed properties:
**Magnetic moment**: 3.751 μB/cell

---

*iv*
MnSiBr2 | GGA-PBE | optimized geometry

Unit cell a=3.885 b=5.082 c=5.080 alpha=79.00 beta=90.00 gamma=90.00
Sites, in units of the cell vectors:
Br 0.000 0.487 0.487
Br 0.000 0.013 0.013
Si 0.500 0.750 0.750
Mn 0.500 0.250 0.250

Computed properties:
**Magnetic moment**: 4.967 μB/cell

---

*iii* (24.9 kJ/mol of atoms below the next structure)

---

*i*
MnSn2Br6 | GGA-PBE | optimized geometry

Unit cell a=4.182 b=8.370 c=9.701 alpha=100.75 beta=90.00 gamma=104.47
Sites, in units of the cell vectors:
Mn 0.000 0.000 0.500
Br 0.996 0.992 0.230
Sn 0.354 0.708 0.166
Br 0.383 0.766 0.465
Sn 0.646 0.292 0.834
Br 0.730 0.460 0.178
Br 0.270 0.540 0.822
Br 0.617 0.234 0.535
Br 0.004 0.008 0.770

Computed properties:
**Magnetic moment**: 4.996 μB/cell

---

*ii*
MnSn2Br6 | GGA-PBE | optimized geometry

Unit cell a=7.144 b=9.532 c=9.532 alpha=78.99 beta=95.95 gamma=95.95
Sites, in units of the cell vectors:
Br 0.557 0.302 0.444
Sn 0.803 0.829 0.632
Br 0.962 0.172 0.033
Br 0.081 0.129 0.649
Mn 0.250 0.080 0.920
Br 0.419 0.351 0.871
Br 0.943 0.556 0.698
Br 0.038 0.828 0.967
Br 0.581 0.649 0.129
Sn 0.197 0.171 0.368
Sn 0.303 0.632 0.829
Br 0.919 0.871 0.351
Sn 0.697 0.368 0.171
Br 0.538 0.967 0.828
Br 0.462 0.033 0.172
Mn 0.750 0.920 0.080
Br 0.057 0.444 0.302
Br 0.443 0.698 0.556

Computed properties:
**Magnetic moment**: 10.000 μB/cell

---

*i* (3.8 kJ/mol of atoms below the next structure)

---

*i*
Sr2MnBr | GGA-PBE | optimized geometry

Unit cell a=8.546 b=8.546 c=7.350 alpha=54.46 beta=54.46 gamma=90.00
Sites, in units of the cell vectors:
Sr 0.639 0.125 0.250
Sr 0.111 0.625 0.250
Mn 0.500 0.500 0.000
Sr 0.875 0.889 0.750
Br 0.750 0.250 0.500
Br 0.000 0.000 0.000
Sr 0.375 0.361 0.750
Mn 0.250 0.750 0.500

Computed properties:
**Magnetic moment**: 8.003 μB/cell

---

*ii*
Sr2MnBr | GGA-PBE | optimized geometry

Unit cell a=3.940 b=4.111 c=8.946 alpha=87.31 beta=90.00 gamma=90.00
Sites, in units of the cell vectors:
Sr 0.000 0.227 0.970
Sr 0.000 0.273 0.530
Br 0.500 0.250 0.250
Mn 0.500 0.750 0.750

Computed properties:
**Magnetic moment**: 3.712 μB/cell

---

*iii*
Sr2MnBr | GGA-PBE | optimized geometry

Unit cell a=6.439 b=6.439 c=6.439 alpha=140.57 beta=114.67 gamma=79.06
Sites, in units of the cell vectors:
Sr 0.478 0.478 0.000
Mn 0.750 0.250 0.500
Br 0.250 0.750 0.500
Sr 0.022 0.022 0.000

Computed properties:
**Magnetic moment**: 3.997 μB/cell

---

*iv*
Sr2MnBr | GGA-PBE | optimized geometry

Unit cell a=3.867 b=3.867 c=8.601 alpha=90.00 beta=90.00 gamma=90.08
Sites, in units of the cell vectors:
Mn 0.500 0.500 0.750
Sr 0.000 0.000 0.519
Sr 0.000 0.000 0.981
Br 0.500 0.500 0.250

Computed properties:
**Magnetic moment**: 3.573 μB/cell

---

*ii* (0.8 kJ/mol of atoms below the next structure)

---

*i*
Sr2MnBr | GGA-PBE | optimized geometry

Unit cell a=5.859 b=5.859 c=5.859 alpha=60.00 beta=60.00 gamma=60.00
Sites, in units of the cell vectors:
Sr 0.000 0.000 0.000
Sr 0.250 0.250 0.250
Mn 0.750 0.750 0.750
Br 0.500 0.500 0.500

Computed properties:
**Magnetic moment**: 3.928 μB/cell

---

*ii*
Sr2MnBr | GGA-PBE | optimized geometry

Unit cell a=7.575 b=7.575 c=7.575 alpha=144.61 beta=144.61 gamma=50.92
Sites, in units of the cell vectors:
Sr 0.250 0.750 0.500
Sr 0.000 0.000 0.000
Mn 0.750 0.250 0.500
Br 0.500 0.500 0.000

Computed properties:
**Magnetic moment**: 4.217 μB/cell

---

*iii*
Sr2MnBr | GGA-PBE | optimized geometry

Unit cell a=3.985 b=3.985 c=9.852 alpha=90.00 beta=90.00 gamma=90.00
Sites, in units of the cell vectors:
Br 0.000 0.000 0.460
Mn 0.500 0.500 0.773
Sr 0.000 0.000 0.963
Sr 0.500 0.500 0.304

Computed properties:
**Magnetic moment**: 4.150 μB/cell

---

*iii* (1.2 kJ/mol of atoms below the next structure)